# 1
# GGA-PBEsol Hf2Sb3Pd, relaxed
# - Energy relative to the elements, uncorrected: -0.538 eV per atom
# - Magnetization: 0.000 μB per atom
# - Uncorrected energy: -43.86 eV for the cell shown
# - Volume: 21.44 A^3/atom
data_Hf2Sb3Pd
_space_group_name_H-M_alt 'P -4 m 2'
_space_group_IT_number 115
_cell_length_a 3.903
_cell_length_b 3.903
_cell_length_c 8.446
_cell_angle_alpha 90.00
_cell_angle_beta 90.00
_cell_angle_gamma 90.00
loop_
_space_group_symop_operation_xyz
'x,y,z'
'y,-x,-z'
'-x,-y,z'
'-y,x,-z'
'-x,y,z'
'-y,-x,-z'
'x,-y,z'
'y,x,-z'
loop_
_atom_site_label
_atom_site_type_symbol
_atom_site_fract_x
_atom_site_fract_y
_atom_site_fract_z
Hf1 Hf 0.000 0.500 0.239
Sb1 Sb 0.000 0.500 0.879
Sb2 Sb 0.500 0.500 0.500
Pd1 Pd 0.000 0.000 0.500


# 2
# GGA-PBEsol HfScPd3, relaxed
# - Magnetization: 0.000 μB per atom
# - Uncorrected energy: -33.45 eV for the cell shown
# - Calculated formation energy: 307.2 meV/atom
# - Volume: 19.71 A^3/atom
data_HfScPd3
_space_group_name_H-M_alt 'P m -3 m'
_space_group_IT_number 221
_space_group_name_Hall '-P 4 2 3'
_cell_length_a 4.619
_cell_length_b 4.619
_cell_length_c 4.619
_cell_angle_alpha 90.00
_cell_angle_beta 90.00
_cell_angle_gamma 90.00
loop_
_atom_site_label
_atom_site_type_symbol
_atom_site_fract_x
_atom_site_fract_y
_atom_site_fract_z
Hf1 Hf 0.000 0.000 0.000
Sc1 Sc 0.500 0.500 0.500
Pd1 Pd 0.000 0.500 0.500


# 3
# GGA-PBEsol HfSc3Pd, relaxed
# - Magnetization: 0.021 μB per atom
# - Uncorrected energy: -35.24 eV for the cell shown
# - Calculated formation energy: 206.6 meV/atom
# - Volume: 24.25 A^3/atom
data_HfSc3Pd
_space_group_name_H-M_alt 'P m -3 m'
_space_group_IT_number 221
_space_group_name_Hall '-P 4 2 3'
_cell_length_a 4.949
_cell_length_b 4.949
_cell_length_c 4.949
_cell_angle_alpha 90.00
_cell_angle_beta 90.00
_cell_angle_gamma 90.00
loop_
_atom_site_label
_atom_site_type_symbol
_atom_site_fract_x
_atom_site_fract_y
_atom_site_fract_z
Hf1 Hf 0.000 0.000 0.000
Sc1 Sc 0.000 0.500 0.500
Pd1 Pd 0.500 0.500 0.500


# 4
# GGA-PBEsol HfScSi2Pd, relaxed
# - Energy relative to the elements, uncorrected: 0.635 eV per atom
# - Magnetization: 0.000 μB per atom
# - Uncorrected energy: -31.39 eV for the cell shown
# - Volume: 20.21 A^3/atom
data_HfScSi2Pd
_space_group_name_H-M_alt 'P 4/m m m'
_space_group_IT_number 123
_space_group_name_Hall '-P 4 2'
_cell_length_a 4.731
_cell_length_b 4.731
_cell_length_c 4.515
_cell_angle_alpha 90.00
_cell_angle_beta 90.00
_cell_angle_gamma 90.00
loop_
_atom_site_label
_atom_site_type_symbol
_atom_site_fract_x
_atom_site_fract_y
_atom_site_fract_z
Hf1 Hf 0.000 0.000 0.000
Sc1 Sc 0.500 0.500 0.500
Si1 Si 0.000 0.500 0.500
Pd1 Pd 0.500 0.500 0.000